1.
4
Lattice="-4.398 2.955 0.210 -2.268 1.050 4.676 0.196 4.907 1.999" Properties=species:S:1:pos:R:3 comment="PBE TlInGaHg, optimized geometry" space_group="F-43m, No. 216" dos_ef_per_ev_fu=3.55 pbc="T T T"
Tl -3.235 4.456 3.443
Hg -4.853 6.684 5.164
Ga -1.618 2.228 1.721
In 0.000 0.000 0.000



2.
4
Lattice="3.627 0.000 0.368 0.000 3.645 0.000 -0.787 0.000 7.720" Properties=species:S:1:pos:R:3 comment="PBE TlInGaHg, optimized geometry" space_group="Pm, No. 6" dos_ef_per_ev_fu=0.90 pbc="T T T"
Tl 3.036 1.822 3.576
In 1.451 0.000 1.143
Ga 2.649 1.822 7.293
Hg 1.002 0.000 5.501



Relative energy of each structure, in eV/atom: 1 0.058; 2 0.000.



1.
10
Lattice="7.409 0.000 0.000 0.000 7.409 0.000 0.000 0.000 2.962" Properties=species:S:1:pos:R:3 comment="PBE Ga2HgIr2, optimized geometry" space_group="P4/mbm, No. 127" dos_ef_per_ev_fu=1.72 pbc="T T T"
Ir 2.597 6.301 0.000
Ir 6.301 4.812 0.000
Ir 4.812 1.108 0.000
Ir 1.108 2.597 0.000
Hg 0.000 0.000 0.000
Hg 3.704 3.704 0.000
Ga 1.084 4.788 1.481
Ga 4.788 6.325 1.481
Ga 6.325 2.620 1.481
Ga 2.620 1.084 1.481



2.
10
Lattice="-1.247 4.946 5.465 -7.223 0.283 -1.905 -0.567 -2.162 1.827" Properties=species:S:1:pos:R:3 comment="PBE Ga2HgIr2, optimized geometry" space_group="P4/mbm, No. 127" dos_ef_per_ev_fu=1.55 pbc="T T T"
Ir -5.188 -0.141 0.505
Ir -7.218 2.387 2.866
Ir -3.849 3.208 4.883
Ir -1.819 0.680 2.521
Hg 0.000 0.000 0.000
Hg -4.235 2.615 1.780
Ga -6.649 2.017 0.324
Ga -5.704 4.428 3.470
Ga -1.822 3.212 3.236
Ga -2.767 0.801 0.090



Relative energy of each structure, in eV/atom: 1 0.000; 2 0.099.



1.
5
Lattice="-2.590 -3.346 -2.818 0.400 -3.442 3.720 -4.356 1.674 2.016" Properties=species:S:1:pos:R:3 comment="PBE GaHg3Ir, optimized geometry" space_group="Pm-3m, No. 221" dos_ef_per_ev_fu=6.27 pbc="T T T"
Ir -3.273 -2.557 1.459
Hg 0.200 -1.721 1.860
Hg -2.178 0.837 1.008
Hg -1.295 -1.673 -1.409
Ga 0.000 0.000 0.000



2.
5
Lattice="5.266 0.000 0.000 0.000 5.266 0.000 0.000 0.000 5.266" Properties=species:S:1:pos:R:3 comment="PBE GaHg3Ir, optimized geometry" space_group="Pm-3m, No. 221" dos_ef_per_ev_fu=2.00 pbc="T T T"
Ir 0.000 0.000 0.000
Hg 0.000 2.633 0.000
Hg 0.000 0.000 2.633
Hg 2.633 0.000 0.000
Ga 2.633 2.633 2.633



Relative energy of each structure, in eV/atom: 1 0.745; 2 0.000.



1.
5
Lattice="5.572 0.000 0.000 0.000 5.107 0.000 0.000 0.000 5.572" Properties=species:S:1:pos:R:3 comment="PBE Ga2HgIrPb, optimized geometry" space_group="P4/mmm, No. 123" dos_ef_per_ev_fu=4.85 pbc="T T T"
Pb 0.000 0.000 0.000
Ir 0.000 2.553 0.000
Hg 2.786 2.553 2.786
Ga 0.000 0.000 2.786
Ga 2.786 0.000 0.000



2.
5
Lattice="4.827 0.000 0.000 0.000 4.827 0.000 0.000 0.000 5.529" Properties=species:S:1:pos:R:3 comment="PBE Ga2HgIrPb, optimized geometry" space_group="P4/mmm, No. 123" dos_ef_per_ev_fu=1.37 pbc="T T T"
Pb 0.000 0.000 2.764
Ir 0.000 0.000 0.000
Hg 2.413 2.413 2.764
Ga 0.000 2.413 0.000
Ga 2.413 0.000 0.000



Relative energy of each structure, in eV/atom: 1 1.090; 2 0.000.



1.
5
Lattice="-0.914 -5.046 1.753 2.965 -1.959 -4.092 3.957 0.239 2.753" Properties=species:S:1:pos:R:3 comment="PBE RbGaHg2Ir, optimized geometry" space_group="P4/mmm, No. 123" dos_ef_per_ev_fu=1.40 pbc="T T T"
Ga 1.978 0.120 1.376
Ir 0.000 0.000 0.000
Hg 1.483 -0.979 -2.046
Hg -0.457 -2.523 0.877
Rb 3.004 -3.383 0.207



2.
5
Lattice="-3.888 -0.524 4.971 1.165 -5.759 0.304 4.839 1.185 3.910" Properties=species:S:1:pos:R:3 comment="PBE RbGaHg2Ir, optimized geometry" space_group="P4/mmm, No. 123" dos_ef_per_ev_fu=3.52 pbc="T T T"
Ga 1.058 -2.549 4.592
Ir 0.582 -2.880 0.152
Hg 2.419 0.592 1.955
Hg -1.944 -0.262 2.486
Rb 0.000 0.000 0.000



Relative energy of each structure, in eV/atom: 1 0.000; 2 1.591.



1.
12
Lattice="-3.237 -4.207 -2.120 5.964 -2.480 -4.186 1.160 -0.946 9.290" Properties=species:S:1:pos:R:3 comment="PBE KGaHg4, optimized geometry" space_group="C2/m, No. 12" dos_ef_per_ev_fu=2.09 pbc="T T T"
K 3.038 -5.542 0.535
K 0.849 -2.091 2.448
Ga 2.251 -2.905 -2.149
Ga 1.637 -4.727 5.132
Hg 4.103 -2.247 0.100
Hg 0.289 -2.329 6.100
Hg 1.154 -0.480 -0.810
Hg -0.033 -3.793 -0.568
Hg -0.216 -5.386 2.883
Hg 3.599 -5.303 -3.117
Hg 4.810 -2.000 -3.376
Hg 3.921 -3.839 3.551



2.
6
Lattice="6.241 0.000 0.000 3.120 5.404 0.000 3.120 1.801 5.095" Properties=species:S:1:pos:R:3 comment="PBE KGaHg4, optimized geometry" space_group="F-43m, No. 216" dos_ef_per_ev_fu=5.19 pbc="T T T"
K 0.000 0.000 0.000
Hg 6.241 3.603 0.640
Hg 6.241 1.804 3.184
Hg 7.798 4.502 3.184
Hg 4.683 4.502 3.184
Ga 3.120 1.801 1.274



Relative energy of each structure, in eV/atom: 1 0.000; 2 0.099.